(1)
Computed, not measured: a PBEsol-optimized structure of Y2TlAgPt at the meta-GGA SCAN level of DFT. Values from VASP.

Geometry as Quantum ESPRESSO input:
```
&SYSTEM
  ibrav = 0, nat = 5, ntyp = 4
/
ATOMIC_SPECIES
Y 88.91 Y.upf
Tl 204.38 Tl.upf
Ag 107.87 Ag.upf
Pt 195.08 Pt.upf
CELL_PARAMETERS angstrom
-4.683 -1.365 0.231
0.703 -3.124 -4.210
1.324 -4.004 3.193
ATOMIC_POSITIONS crystal
Y 0.000 0.000 0.500
Y 0.000 0.500 0.000
Tl 0.500 0.500 0.500
Ag 0.000 0.000 0.000
Pt 0.500 0.000 0.000
```

Summary:
Energy of formation from the pure elements in meV per atom: 82
Magnetization in μB per formula unit: 0.00
Volume in A^3/atom: 27.32
Density in g cm⁻³: 8.3

***

(2)
Computed, not measured: a PBEsol-optimized structure of Ag3PtW at the meta-GGA SCAN level of DFT. Values from VASP.

Geometry as Quantum ESPRESSO input:
```
&SYSTEM
  ibrav = 0, nat = 5, ntyp = 3
/
ATOMIC_SPECIES
Ag 107.87 Ag.upf
W 183.84 W.upf
Pt 195.08 Pt.upf
CELL_PARAMETERS angstrom
4.868 0.000 0.000
0.000 4.868 0.000
0.000 0.000 4.868
ATOMIC_POSITIONS crystal
Ag 0.000 0.500 0.000
Ag 0.000 0.000 0.500
Ag 0.500 0.000 0.000
W 0.000 0.000 0.000
Pt 0.500 0.500 0.500
```

Summary:
Energy of formation from the pure elements in meV per atom: 2256
Magnetization in μB per formula unit: 0.00
Volume in A^3/atom: 23.07
Density in g cm⁻³: 10.1

***

(3)
Computed, not measured: a PBEsol-optimized structure of AgPtW at the meta-GGA SCAN level of DFT. Values from VASP.

Geometry as Quantum ESPRESSO input:
```
&SYSTEM
  ibrav = 0, nat = 3, ntyp = 3
/
ATOMIC_SPECIES
Ag 107.87 Ag.upf
W 183.84 W.upf
Pt 195.08 Pt.upf
CELL_PARAMETERS angstrom
2.788 0.000 0.000
-1.394 2.414 0.000
0.000 0.000 6.987
ATOMIC_POSITIONS crystal
Ag 0.000 0.000 0.000
W 0.667 0.333 0.346
Pt 0.333 0.667 0.654
```

Summary:
Energy of formation from the pure elements in meV per atom: 183
Magnetization in μB per formula unit: 0.00
Volume in A^3/atom: 15.68
Density in g cm⁻³: 17.2

***

(4)
Computed, not measured: a PBEsol-optimized structure of Y2AgPt at the meta-GGA SCAN level of DFT. Values from VASP.

Geometry as Quantum ESPRESSO input:
```
&SYSTEM
  ibrav = 0, nat = 4, ntyp = 3
/
ATOMIC_SPECIES
Y 88.91 Y.upf
Ag 107.87 Ag.upf
Pt 195.08 Pt.upf
CELL_PARAMETERS angstrom
-3.374 0.963 1.272
-1.223 -4.379 0.070
3.438 -0.891 4.322
ATOMIC_POSITIONS crystal
Y 0.985 0.500 0.971
Y 0.263 0.000 0.526
Ag 0.542 0.000 0.085
Pt 0.709 0.500 0.418
```

Summary:
Energy of formation from the pure elements in meV per atom: -953
Magnetization in μB per formula unit: 0.00
Volume in A^3/atom: 22.38
Density in g cm⁻³: 8.9